# Mn3O5F | Alexandria | GGA+U | relaxed
# - Total DFT energy (no corrections): -6.955 eV per atom
# - Excess energy over the best structure of this formula in the dataset: 0.08 eV/f.u.
data_Mn3O5F
_space_group_name_H-M_alt 'P 1'
_space_group_IT_number 1
_cell_length_a 9.0793
_cell_length_b 4.5477
_cell_length_c 4.5370
_cell_angle_alpha 90.00
_cell_angle_beta 90.00
_cell_angle_gamma 90.00
loop_
_space_group_symop_operation_xyz
'x,y,z'
loop_
_atom_site_label
_atom_site_fract_x
_atom_site_fract_y
_atom_site_fract_z
Mn1 0.0000 0.2267 0.0000
Mn2 0.1742 0.7526 0.5289
Mn3 0.3258 0.2474 0.0289
Mn4 0.5000 0.7733 0.5000
Mn5 0.6742 0.2474 0.0289
Mn6 0.8258 0.7526 0.5289
O1 0.0000 0.9327 0.7114
O2 0.1639 0.0541 0.2181
O3 0.1648 0.4381 0.8263
O4 0.3352 0.5619 0.3263
O5 0.3361 0.9459 0.7181
O6 0.5000 0.0673 0.2114
O7 0.6639 0.9459 0.7181
O8 0.6648 0.5619 0.3263
O9 0.8352 0.4381 0.8263
O10 0.8361 0.0541 0.2181
F1 0.0000 0.5464 0.3193
F2 0.5000 0.4536 0.8193